## Th4O (PBE-GGA)

Data for an optimized crystal structure of Th4O.

abc: 5.081 5.081 5.081
angles: 90.00 90.00 90.00
Element x y z (fractional)
Th  0.000  0.500  0.500
O  0.500  0.500  0.500
Th  0.500  0.000  0.500
Th  0.000  0.000  0.000
Th  0.500  0.500  0.000

Values from the calculation:
DFT total energy = -8.009 eV per atom
formation energy (no corrections) = -1.082 eV per atom
ρ = 11.950 Mg/m³

=====

## Y2ScAl (PBE-GGA)

Data for an optimized crystal structure of Y2ScAl.

abc: 6.271 6.271 5.011
angles: 66.46 66.46 35.65
Element x y z (fractional)
Y  0.532  0.532  0.468
Al  0.250  0.250  0.250
Sc  0.750  0.750  0.750
Y  0.968  0.968  0.032

Values from the calculation:
E_form = -14.43 kJ/mol of atoms
DFT total energy = -5.900 eV per atom
ρ = 3.978 Mg/m³

=====

## LiTl2ZnCl (PBE-GGA)

Data for an optimized crystal structure of LiTl2ZnCl.

abc: 6.042 4.268 6.042
angles: 90.00 90.00 90.00
Element x y z (fractional)
Li  0.000  0.500  0.000
Tl  0.000  0.000  0.500
Tl  0.500  0.000  0.000
Zn  0.500  0.500  0.500
Cl  0.000  0.000  0.000

Values from the calculation:
DFT total energy = -2.150 eV per atom
formation energy (no corrections) = -0.197 eV per atom
ρ = 5.506 Mg/m³